[1]
FeRh2W: relaxed, GGA-PBE.

DFT formation energy in eV per atom: -0.132
Offset from the most stable computed form in meV/atom: 29
Space-group type: P4/mmm (123)

Cell: 3.7768 3.8393 3.8393 Å, 90.00 90.00 90.00°
Last column: nearest neighbours and their distance in Å.
Fractional positions:
Rh  0.0000  0.0000  0.0000  4 W 2.69, 4 Fe 2.69, 4 Rh 2.71
Rh  0.0000  0.5000  0.5000  4 W 2.69, 4 Fe 2.69, 4 Rh 2.71
Fe  0.5000  0.0000  0.5000  8 Rh 2.69, 4 W 2.71
W  0.5000  0.5000  0.0000  8 Rh 2.69, 4 Fe 2.71

=====

[2]
Li2RhF4: relaxed, GGA-PBE.

Offset from the most stable computed form in meV/atom: 0
Space-group type: C2/m (12)
Formation energy without anion corrections in kJ per mole of atoms: -203.68

Cell: 3.5453 5.0149 6.2641 Å, 121.83 106.44 90.00°
Last column: nearest neighbours and their distance in Å.
Fractional positions:
Li  0.6413  0.7675  0.2826  4 F 1.88-1.99
Li  0.3587  0.2325  0.7174  4 F 1.88-1.99
Rh  0.0000  0.0000  0.0000  6 F 2.04-2.23
F  0.8394  0.0368  0.6788  3 Li 1.98-1.99, 1 Rh 2.04
F  0.1606  0.9632  0.3212  3 Li 1.98-1.99, 1 Rh 2.04
F  0.5582  0.3217  0.1164  1 Li 1.88
F  0.4418  0.6783  0.8836  1 Li 1.88

=====

[3]
K2Ga3PbF12: relaxed, GGA-PBE.

Space-group type: R-3m (166)
Formation energy without anion corrections in kJ per mole of atoms: -246.00

Cell: 7.3110 7.3110 7.3110 Å, 62.56 62.56 62.56°
Last column: nearest neighbours and their distance in Å.
Fractional positions:
K  0.6231  0.6231  0.6231  3 F 2.68
K  0.3769  0.3769  0.3769  3 F 2.68
Ga  0.5000  0.0000  0.0000  6 F 1.93-2.00
Ga  0.0000  0.5000  0.0000  6 F 1.93-2.00
Ga  0.0000  0.0000  0.5000  6 F 1.93-2.00
Pb  0.0000  0.0000  0.0000  6 F 2.58
F  0.2829  0.2829  0.9000  2 Ga 2.00
F  0.8766  0.8766  0.4190  1 Ga 1.93
F  0.4190  0.8766  0.8766  1 Ga 1.93
F  0.9000  0.2829  0.2829  2 Ga 2.00
F  0.8766  0.4190  0.8766  1 Ga 1.93
F  0.2829  0.9000  0.2829  2 Ga 2.00
F  0.7171  0.7171  0.1000  2 Ga 2.00
F  0.1234  0.1234  0.5810  1 Ga 1.93
F  0.5810  0.1234  0.1234  1 Ga 1.93
F  0.1000  0.7171  0.7171  2 Ga 2.00
F  0.1234  0.5810  0.1234  1 Ga 1.93
F  0.7171  0.1000  0.7171  2 Ga 2.00

=====

[4]
NdGdHoSn: relaxed, GGA-PBE.

DFT formation energy in eV per atom: -0.266
Space-group type: F-43m (216)

Cell: 5.4822 5.4822 5.4822 Å, 60.00 60.00 60.00°
Last column: nearest neighbours and their distance in Å.
Fractional positions:
Gd  0.2500  0.2500  0.2500  4 Sn 3.36, 4 Ho 3.36
Nd  0.7500  0.7500  0.7500  4 Sn 3.36, 4 Ho 3.36
Ho  0.0000  0.0000  0.0000  4 Gd 3.36, 4 Nd 3.36
Sn  0.5000  0.5000  0.5000  4 Nd 3.36, 4 Gd 3.36

=====

[5]
Al2PW: relaxed, GGA-PBE.

DFT formation energy in eV per atom: -0.087
Space-group type: Pmmm (47)

Cell: 3.3518 3.3699 6.1590 Å, 56.84 90.00 90.00°
Last column: nearest neighbours and their distance in Å.
Fractional positions:
P  0.5000  0.2500  0.2500  2 W 2.58, 8 Al 2.70
Al  0.0000  0.9993  0.0009  2 Al 2.57-2.59, 4 P 2.70, 4 W 2.71
Al  0.0000  0.5007  0.4991  2 Al 2.57-2.59, 4 P 2.70, 4 W 2.71
W  0.5000  0.7500  0.7500  2 P 2.58, 8 Al 2.71

=====

[6]
ZrCu2RuO: relaxed, GGA-PBE.

Space-group type: P4/mmm (123)
Formation energy without anion corrections in kJ per mole of atoms: 178.59

Cell: 4.8967 4.6605 4.8967 Å, 90.00 90.00 90.00°
Last column: nearest neighbours and their distance in Å.
Fractional positions:
O  0.5000  0.5000  0.5000  8 Cu 3.38, 4 Ru 3.46
Ru  0.0000  0.5000  0.0000  2 Zr 2.33
Cu  0.0000  0.0000  0.5000  2 Zr 2.45
Cu  0.5000  0.0000  0.0000  2 Zr 2.45
Zr  0.0000  0.0000  0.0000  2 Ru 2.33, 4 Cu 2.45

=====

[7]
NbPPtO2: relaxed, GGA-PBE.

Offset from the most stable computed form in meV/atom: 0
Space-group type: P4/mmm (123)
Formation energy without anion corrections in kJ per mole of atoms: -90.13

Cell: 3.8067 3.8067 5.6243 Å, 90.00 90.00 90.00°
Last column: nearest neighbours and their distance in Å.
Fractional positions:
P  0.0000  0.0000  0.5000  4 Pt 2.69, 2 Nb 2.81
Nb  0.0000  0.0000  0.0000  4 O 1.90
O  0.0000  0.5000  0.0000  2 Nb 1.90
O  0.5000  0.0000  0.0000  2 Nb 1.90
Pt  0.5000  0.5000  0.5000  4 P 2.69

=====

[8]
LaBe3Pt: relaxed, GGA-PBE.

DFT formation energy in eV per atom: -0.427
Offset from the most stable computed form in meV/atom: 64
Space-group type: P1 (1)

Cell: 3.8309 9.2504 5.9307 Å, 57.22 71.02 65.47°
Last column: nearest neighbours and their distance in Å.
Fractional positions:
Be  0.6431  0.6096  0.3697  4 Be 2.20-2.24, 2 Pt 2.37-2.38
Be  0.0257  0.7491  0.3244  3 Be 2.16-2.20, 2 Pt 2.31
Be  0.2128  0.4583  0.5323  4 Be 2.11-2.24, 2 Pt 2.31
Be  0.8184  0.0828  0.0715  2 Be 2.20, 3 Pt 2.36-2.38
Be  0.1015  0.1874  0.2964  1 Be 2.08, 1 Pt 2.24
Be  0.2649  0.2190  0.9060  4 Be 2.08-2.20
Pt  0.3787  0.9118  0.2933  7 Be 2.31-2.47
Pt  0.8486  0.2885  0.6007  7 Be 2.24-2.45
La  0.6346  0.9427  0.7189  5 Be 2.97-3.31, 5 Pt 3.11-3.28
La  0.4532  0.4929  0.9836  9 Be 2.95-3.30

=====

[9]
In2GeO5: relaxed, GGA-PBE.

Offset from the most stable computed form in meV/atom: 0
Space-group type: Pnnm (58)
Formation energy without anion corrections in kJ per mole of atoms: -153.44

Cell: 6.4488 8.7690 8.8785 Å, 90.00 90.00 90.00°
Last column: nearest neighbours and their distance in Å.
Fractional positions:
In  0.2431  0.0000  0.0000  6 O 2.11-2.32
In  0.7569  0.0000  0.0000  6 O 2.11-2.32
In  0.0000  0.1390  0.6395  5 O 2.06-2.17
In  0.5000  0.3610  0.1395  5 O 2.06-2.17
In  0.2569  0.5000  0.5000  6 O 2.11-2.32
In  0.7431  0.5000  0.5000  6 O 2.11-2.32
In  0.5000  0.6390  0.8605  5 O 2.06-2.17
In  0.0000  0.8610  0.3605  5 O 2.06-2.17
Ge  0.0000  0.2433  0.2537  4 O 1.77-1.80
Ge  0.5000  0.2567  0.7537  4 O 1.77-1.80
Ge  0.5000  0.7433  0.2463  4 O 1.77-1.80
Ge  0.0000  0.7567  0.7463  4 O 1.77-1.80
O  0.0000  0.0834  0.8647  3 In 2.06-2.11
O  0.5000  0.0815  0.8599  1 Ge 1.80
O  0.0000  0.1057  0.4001  1 Ge 1.77
O  0.2258  0.2237  0.1390  1 Ge 1.78
O  0.7742  0.2237  0.1390  1 Ge 1.78
O  0.2742  0.2763  0.6390  1 Ge 1.78
O  0.7258  0.2763  0.6390  1 Ge 1.78
O  0.5000  0.3943  0.9001  1 Ge 1.77
O  0.0000  0.4185  0.3599  1 Ge 1.80
O  0.5000  0.4166  0.3647  3 In 2.06-2.11
O  0.5000  0.5834  0.6353  3 In 2.06-2.11
O  0.0000  0.5815  0.6401  1 Ge 1.80
O  0.5000  0.6057  0.0999  1 Ge 1.77
O  0.2742  0.7237  0.3610  1 Ge 1.78
O  0.7258  0.7237  0.3610  1 Ge 1.78
O  0.2258  0.7763  0.8610  1 Ge 1.78
O  0.7742  0.7763  0.8610  1 Ge 1.78
O  0.0000  0.8943  0.5999  1 Ge 1.77
O  0.5000  0.9185  0.1401  1 Ge 1.80
O  0.0000  0.9166  0.1353  3 In 2.06-2.11

=====

[10]
Ac2SbPPt6: relaxed, GGA-PBE.

Space-group type: I4mm (107)
Formation energy without anion corrections in kJ per mole of atoms: -86.29

Cell: 6.2719 6.2730 7.0083 Å, 116.59 116.58 90.00°
Last column: nearest neighbours and their distance in Å.
Fractional positions:
Ac  0.7233  0.2239  0.4468  8 Pt 3.21-3.39, 2 P 3.49
Ac  0.2234  0.7238  0.4467  8 Pt 3.20-3.39, 2 P 3.49
Sb  0.5519  0.5524  0.1037  6 Pt 2.52-2.78
P  0.0830  0.0835  0.1660  5 Pt 2.31-2.43
Pt  0.7307  0.7312  0.9186  1 P 2.43, 1 Sb 2.61
Pt  0.7843  0.7848  0.5686  1 Sb 2.52, 4 Pt 2.78
Pt  0.1880  0.1885  0.9188  1 P 2.43, 1 Sb 2.61
Pt  0.7307  0.1883  0.9187  1 P 2.43, 1 Sb 2.61
Pt  0.2957  0.2962  0.5914  1 P 2.31
Pt  0.1879  0.7313  0.9187  1 P 2.43, 1 Sb 2.61

=====

[11]
HoTm10Sc2: relaxed, GGA-PBE.

DFT formation energy in eV per atom: 0.260
Space-group type: Fmmm (69)

Cell: 6.3755 8.1645 9.0226 Å, 82.07 69.31 67.02°
Last column: nearest neighbours and their distance in Å.
Fractional positions:
Ho  0.0000  0.0000  0.0000  12 Tm 3.85-3.93, 4 Sc 4.08
Tm  0.3421  0.6390  0.6769  2 Sc 3.33, 6 Tm 3.39-3.64
Tm  0.6579  0.3610  0.3231  2 Sc 3.33, 6 Tm 3.39-3.64
Tm  0.9810  0.3610  0.6769  2 Sc 3.33, 6 Tm 3.39-3.64
Tm  0.0190  0.6390  0.3231  2 Sc 3.33, 6 Tm 3.39-3.64
Tm  0.0000  0.0000  0.5000  10 Tm 3.19-3.48
Tm  0.5000  0.0000  0.5000  10 Tm 3.19-3.48
Tm  0.2959  0.2104  0.1978  5 Tm 3.16-3.40, 2 Sc 3.17
Tm  0.7041  0.7896  0.8022  5 Tm 3.16-3.40, 2 Sc 3.17
Tm  0.5063  0.7896  0.1978  5 Tm 3.16-3.40, 2 Sc 3.17
Tm  0.4937  0.2104  0.8022  5 Tm 3.16-3.40, 2 Sc 3.17
Sc  0.0000  0.5000  0.0000  8 Tm 3.17-3.33, 2 Sc 3.19
Sc  0.5000  0.5000  0.0000  8 Tm 3.17-3.33, 2 Sc 3.19

=====

[12]
Tb5Y4Th3: relaxed, GGA-PBE.

DFT formation energy in eV per atom: 0.293
Space-group type: C2/m (12)

Cell: 6.0067 8.4932 9.7009 Å, 104.63 71.96 69.29°
Last column: nearest neighbours and their distance in Å.
Fractional positions:
Tb  0.6251  0.9493  0.8005  2 Th 3.20-3.52, 1 Tb 3.43
Tb  0.5000  0.5000  0.5000  4 Th 3.00-3.09
Tb  0.2070  0.4638  0.1222  4 Th 3.23-3.44, 3 Y 3.48-3.49
Tb  0.7930  0.5362  0.8778  4 Th 3.23-3.44, 3 Y 3.48-3.49
Tb  0.3749  0.0507  0.1995  2 Th 3.20-3.52, 1 Tb 3.43
Y  0.8608  0.2232  0.0551  1 Y 3.27, 1 Th 3.35, 3 Tb 3.48-3.49
Y  0.1700  0.0404  0.6196  3 Th 3.38-3.63, 3 Y 3.63-3.67, 3 Tb 3.65-3.68
Y  0.8300  0.9596  0.3804  3 Th 3.38-3.63, 3 Y 3.63-3.67, 3 Tb 3.65-3.68
Y  0.1392  0.7768  0.9449  1 Y 3.27, 1 Th 3.35, 3 Tb 3.48-3.49
Th  0.5294  0.6812  0.2600  5 Tb 3.09-3.44, 2 Y 3.35-3.38
Th  0.0000  0.5000  0.5000  2 Tb 3.00
Th  0.4706  0.3188  0.7400  5 Tb 3.09-3.44, 2 Y 3.35-3.38

=====

[13]
Ba2Sr2Rh: relaxed, GGA-PBE.

DFT formation energy in eV per atom: -0.052
Offset from the most stable computed form in meV/atom: 74
Space-group type: I4_1/amd (141)

Cell: 5.4896 5.4896 15.0475 Å, 100.51 100.51 90.00°
Last column: nearest neighbours and their distance in Å.
Fractional positions:
Ba  0.9328  0.4328  0.8655  2 Rh 3.37, 1 Sr 3.63
Ba  0.6828  0.6828  0.3655  2 Rh 3.37, 1 Sr 3.63
Ba  0.3172  0.3172  0.6345  2 Rh 3.37, 1 Sr 3.63
Ba  0.5672  0.0672  0.1345  2 Rh 3.37, 1 Sr 3.63
Sr  0.8074  0.8074  0.6149  2 Rh 3.21
Sr  0.0574  0.5574  0.1149  2 Rh 3.21
Sr  0.4426  0.9426  0.8851  2 Rh 3.21
Sr  0.1926  0.1926  0.3851  2 Rh 3.21
Rh  0.5000  0.5000  0.0000  4 Sr 3.21, 4 Ba 3.37
Rh  0.7500  0.2500  0.5000  4 Sr 3.21, 4 Ba 3.37

=====

[14]
K2PuPtO6: relaxed, GGA-PBE.

Space-group type: Fm-3m (225)
Formation energy without anion corrections in kJ per mole of atoms: -166.94

Cell: 5.8212 5.8209 5.8221 Å, 60.00 60.00 90.00°
Last column: nearest neighbours and their distance in Å.
Fractional positions:
K  0.7500  0.2501  0.4999  12 O 2.91
K  0.2500  0.7499  0.5001  12 O 2.91
Pu  0.5000  0.5000  0.0000  6 O 2.08
Pt  0.0000  0.0000  0.0000  6 O 2.04
O  0.2480  0.2480  0.5042  1 Pt 2.04, 1 Pu 2.08
O  0.7523  0.7522  0.0002  1 Pt 2.04, 1 Pu 2.08
O  0.2478  0.7524  0.0000  1 Pt 2.04, 1 Pu 2.08
O  0.7522  0.2476  0.0000  1 Pt 2.04, 1 Pu 2.08
O  0.2477  0.2478  0.9998  1 Pt 2.04, 1 Pu 2.08
O  0.7520  0.7520  0.4958  1 Pt 2.04, 1 Pu 2.08

=====

[15]
Sn2Hg3Au9: relaxed, GGA-PBE.

DFT formation energy in eV per atom: 0.054
Space-group type: Immm (71)

Cell: 4.8628 9.0687 9.0688 Å, 68.02 74.45 74.45°
Last column: nearest neighbours and their distance in Å.
Fractional positions:
Sn  0.5000  0.3376  0.6624  8 Au 2.90-2.97
Sn  0.5000  0.6624  0.3376  8 Au 2.90-2.97
Hg  0.0000  0.0000  0.0000  4 Au 2.92, 2 Hg 3.02
Hg  0.7880  0.2120  0.2120  4 Au 2.83-2.98, 1 Hg 3.02
Hg  0.2120  0.7880  0.7880  4 Au 2.83-2.98, 1 Hg 3.02
Au  0.0000  0.5000  0.5000  4 Au 2.92, 4 Sn 2.94
Au  0.6950  0.0589  0.5511  5 Au 2.77-2.89, 1 Hg 2.83, 1 Sn 2.90
Au  0.3050  0.9411  0.4489  5 Au 2.77-2.89, 1 Hg 2.83, 1 Sn 2.90
Au  0.6950  0.5511  0.0589  5 Au 2.77-2.89, 1 Hg 2.83, 1 Sn 2.90
Au  0.3050  0.4489  0.9411  5 Au 2.77-2.89, 1 Hg 2.83, 1 Sn 2.90
Au  0.8979  0.8522  0.3520  5 Au 2.77-2.92, 2 Hg 2.92-2.98, 2 Sn 2.97
Au  0.1021  0.1478  0.6480  5 Au 2.77-2.92, 2 Hg 2.92-2.98, 2 Sn 2.97
Au  0.8979  0.3520  0.8522  5 Au 2.77-2.92, 2 Hg 2.92-2.98, 2 Sn 2.97
Au  0.1021  0.6480  0.1478  5 Au 2.77-2.92, 2 Hg 2.92-2.98, 2 Sn 2.97